# 1
A relaxed Pu2Ge3BiPd4 crystal. Source: Alexandria via LeMat-Bulk, functional PBE.

SG = No. 115
formation energy = -0.48 eV per atom

POSCAR file:
```
Pu2Ge3BiPd4
1.0
-3.205 1.234 -2.565
-1.300 -4.071 -0.333
-6.568 1.372 8.868
Pd Ge Bi Pu
4 3 1 2
direct
0.000 0.000 0.000
0.500 0.000 0.656
0.500 0.500 0.000
0.000 0.500 0.344
0.500 0.000 0.875
0.000 0.000 0.500
0.000 0.500 0.125
0.500 0.500 0.500
0.500 0.000 0.231
0.000 0.500 0.769
```

***

# 2
A relaxed MnNb3Tc crystal. Source: Alexandria via LeMat-Bulk, functional PBE.

energy relative to the lowest polymorph listed for this composition = 0.00 eV/f.u.
SG = No. 221
formation energy = 0.93 eV per atom

POSCAR file:
```
MnNb3Tc
1.0
-4.140 0.050 -1.832
-1.641 -2.117 3.650
-0.816 4.002 1.954
Nb Mn Tc
3 1 1
direct
0.000 0.500 0.000
0.000 0.000 0.500
0.500 0.000 0.000
0.000 0.000 0.000
0.500 0.500 0.500
```

***

# 3
A relaxed BePAu crystal. Source: Alexandria via LeMat-Bulk, functional PBE.

SG = No. 8
formation energy = -0.12 eV per atom

POSCAR file:
```
BePAu
1.0
-4.519 0.208 -3.470
0.475 -2.456 -2.751
-3.935 -1.996 3.607
Be P Au
2 2 2
direct
0.324 0.316 0.324
0.771 0.315 0.771
0.614 0.974 0.935
0.160 0.975 0.480
0.163 0.203 0.931
0.796 0.066 0.299
```